1.
# GGA-PBE Zr2ZnCd, optimized geometry
data_Zr2ZnCd
_chemical_formula_sum 'Zr2 Zn1 Cd1'
_cell_length_a 3.163
_cell_length_b 3.163
_cell_length_c 8.067
_cell_angle_alpha 90.00
_cell_angle_beta 90.00
_cell_angle_gamma 90.00
_space_group_name_H-M_alt 'P 1'
_space_group_IT_number 1
loop_
_space_group_symop_operation_xyz
'x,y,z'
loop_
_atom_site_label
_atom_site_fract_x
_atom_site_fract_y
_atom_site_fract_z
Zr1 0.000 0.000 0.231
Zr2 0.000 0.000 0.769
Zn1 0.500 0.500 0.000
Cd1 0.500 0.500 0.500
# Energy relative to the elements in eV/atom: -0.18
# N(E_F) in states/eV per cell: 3.780
# Calculated total energy in eV/atom: -5.004
# Energy above the most stable polymorph in this dataset in eV/f.u.: 0.000

2.
# GGA-PBE Ag2OsO, optimized geometry
data_Ag2OsO
_chemical_formula_sum 'Ag4 Os2 O2'
_cell_length_a 6.598
_cell_length_b 6.598
_cell_length_c 6.598
_cell_angle_alpha 94.47
_cell_angle_beta 94.47
_cell_angle_gamma 147.57
_space_group_name_H-M_alt 'P 1'
_space_group_IT_number 1
loop_
_space_group_symop_operation_xyz
'x,y,z'
loop_
_atom_site_label
_atom_site_fract_x
_atom_site_fract_y
_atom_site_fract_z
Ag1 0.011 0.625 0.886
Ag2 0.375 0.261 0.386
Ag3 0.739 0.125 0.114
Ag4 0.875 0.989 0.614
Os1 0.250 0.750 0.500
Os2 0.500 0.500 0.000
O1 0.000 0.000 0.000
O2 0.750 0.250 0.500
# E_form (uncorrected) in meV per atom: 545
# N(E_F) in states/eV per cell: 3.915
# Calculated total energy in eV/atom: -4.927